Compound: KLa2Br6
Source: the Alexandria database
Functional: PBE
Structure: optimized geometry

The value obtained for the raw formation energy is -1.8492 eV/atom. The magnetic moment is 0.6 μB/f.u.

```
data_KLa2Br6
_chemical_formula_sum 'K4 La8 Br24'
_space_group_name_H-M_alt 'C 1 2/c 1'
_space_group_IT_number 15
_space_group_name_Hall '-C 2yc'
_cell_length_a 17.5208
_cell_length_b 10.8573
_cell_length_c 7.5953
_cell_angle_alpha 90.00
_cell_angle_beta 110.00
_cell_angle_gamma 90.00
loop_
_atom_site_label
_atom_site_type_symbol
_atom_site_fract_x
_atom_site_fract_y
_atom_site_fract_z
K1 K 0.0000 0.1952 0.2500
La1 La 0.2403 0.4745 0.9104
Br1 Br 0.1169 0.3955 0.5468
Br2 Br 0.1192 0.0361 0.7206
Br3 Br 0.1869 0.2850 0.1522
```